[1]
Li4CoNi3P4O16: single point on PBEsol structure, SCAN.

Properties
As for the space-group type: Pm, No. 6. For the formation energy (no corrections), the calculation gives -2252 meV/atom.

Structure (POSCAR):
```
Li4CoNi3P4O16
1.0
4.659 0.000 -0.006
0.000 5.822 0.000
-0.016 0.000 9.987
P O Li Ni Co
4 16 4 3 1
direct
0.074 0.500 0.405
0.921 0.000 0.596
0.580 0.000 0.093
0.424 0.500 0.905
0.705 0.000 0.949
0.214 0.710 0.332
0.796 0.000 0.452
0.249 0.000 0.598
0.280 0.290 0.832
0.214 0.290 0.332
0.722 0.790 0.166
0.301 0.500 0.049
0.722 0.210 0.166
0.280 0.710 0.832
0.252 0.000 0.095
0.746 0.500 0.403
0.779 0.211 0.668
0.779 0.789 0.668
0.752 0.500 0.902
0.200 0.500 0.549
0.002 0.249 0.000
0.500 0.251 0.502
0.500 0.749 0.502
0.002 0.751 0.000
0.487 0.000 0.774
0.514 0.500 0.225
0.988 0.500 0.727
0.019 0.000 0.276
```


[2]
Be3Ir: single point on PBEsol structure, SCAN.

Properties
As for the formation energy: -0.523 eV/atom. As for the space-group type: P4/mmm, No. 123.

Structure (POSCAR):
```
Be3Ir
1.0
-0.253 0.185 2.857
-2.089 -3.000 0.009
2.983 -2.076 0.398
Be Ir
3 1
direct
0.000 0.500 0.500
0.500 0.000 0.500
0.500 0.500 0.000
0.000 0.000 0.000
```


[3]
Na3VO4: single point on PBEsol structure, SCAN.

Properties
As for the space-group type: I-42m, No. 121. For the formation energy (no corrections), the calculation gives -2334 meV/atom.

Structure (POSCAR):
```
Na3VO4
1.0
4.995 0.000 0.000
0.000 4.995 0.000
-2.497 -2.497 4.750
Na V O
3 1 4
direct
0.750 0.250 0.500
0.500 0.500 0.000
0.250 0.750 0.500
0.000 0.000 0.000
0.304 0.904 0.208
0.696 0.696 0.792
0.904 0.304 0.208
0.096 0.096 0.792
```


[4]
TcAsBr4: single point on PBEsol structure, SCAN.

Properties
As for the space-group type: F-43m, No. 216. For the formation energy (no corrections), the calculation gives 1307 meV/atom.

Structure (POSCAR):
```
TcAsBr4
1.0
-4.879 3.275 -0.887
-3.333 1.678 4.625
-0.098 5.699 1.679
As Br Tc
1 4 1
direct
0.000 0.000 0.000
0.376 0.376 0.873
0.376 0.873 0.376
0.376 0.376 0.376
0.873 0.376 0.376
0.750 0.750 0.750
```


[5]
YTaO2: single point on PBEsol structure, SCAN.

Properties
As for the space-group type: R-3m, No. 166. For the formation energy (no corrections), the calculation gives -2563 meV/atom.

Structure (POSCAR):
```
YTaO2
1.0
3.505 0.000 0.000
1.752 3.035 0.000
1.752 1.012 5.851
O Y Ta
2 1 1
direct
0.111 0.111 0.666
0.889 0.889 0.334
0.500 0.500 0.500
0.000 0.000 0.000
```


[6]
YCr3Br: single point on PBEsol structure, SCAN.

Properties
As for the space-group type: Pm-3m, No. 221. The calculation puts the polymorph energy (0 for the lowest one) at 942 meV/atom. For the formation energy (no corrections), the calculation gives 1740 meV/atom.

Structure (POSCAR):
```
YCr3Br
1.0
5.068 0.000 0.000
0.000 5.068 0.000
0.000 0.000 5.068
Cr Y Br
3 1 1
direct
0.000 0.000 0.500
0.500 0.000 0.000
0.000 0.500 0.000
0.000 0.000 0.000
0.500 0.500 0.500
```


[7]
Sc3CdFe: single point on PBEsol structure, SCAN.

Properties
As for the formation energy: 0.927 eV/atom. As for the space-group type: Pm-3m, No. 221.

Structure (POSCAR):
```
Sc3CdFe
1.0
-2.531 -0.697 4.432
4.125 -2.365 1.984
1.766 4.523 1.720
Fe Cd Sc
1 1 3
direct
0.500 0.500 0.500
0.000 0.000 0.000
0.500 0.000 0.000
0.000 0.000 0.500
0.000 0.500 0.000
```


[8]
ScAl2Ru: single point on PBEsol structure, SCAN.

Properties
As for the formation energy: -0.715 eV/atom. As for the space-group type: P4/mmm, No. 123.

Structure (POSCAR):
```
ScAl2Ru
1.0
-0.159 -2.941 0.767
2.761 0.181 1.267
-2.883 1.729 6.033
Al Ru Sc
2 1 1
direct
0.000 0.000 0.802
0.000 0.000 0.198
0.500 0.500 0.000
0.500 0.500 0.500
```


[9]
KNdW2O8: single point on PBEsol structure, SCAN.

Properties
As for the space-group type: C2/m, No. 12. For the formation energy (no corrections), the calculation gives -2722 meV/atom.

Structure (POSCAR):
```
KNdW2O8
1.0
-2.044 -7.049 -1.021
6.066 -0.765 -4.187
1.437 1.742 7.138
O K W Nd
16 2 4 2
direct
0.984 0.984 0.657
0.426 0.426 0.108
0.310 0.781 0.353
0.297 0.040 0.065
0.574 0.574 0.892
0.690 0.219 0.647
0.654 0.906 0.262
0.960 0.703 0.935
0.040 0.297 0.065
0.094 0.346 0.738
0.346 0.094 0.738
0.703 0.960 0.935
0.219 0.690 0.647
0.906 0.654 0.262
0.016 0.016 0.343
0.781 0.310 0.353
0.310 0.310 0.473
0.690 0.690 0.527
0.797 0.797 0.056
0.203 0.203 0.944
0.164 0.836 0.500
0.836 0.164 0.500
0.304 0.696 0.000
0.696 0.304 0.000
```


[10]
Li2TePb: single point on PBEsol structure, SCAN.

Properties
As for the space-group type: Pmmm, No. 47. The calculation puts the polymorph energy (0 for the lowest one) at 39 meV/atom. For the formation energy (no corrections), the calculation gives -559 meV/atom.

Structure (POSCAR):
```
Li2TePb
1.0
3.720 0.000 0.054
0.000 3.793 0.000
-0.094 0.000 6.428
Li Te Pb
2 1 1
direct
0.000 0.000 0.286
0.000 0.000 0.714
0.500 0.500 0.500
0.500 0.500 0.000
```


[11]
Cu2AgBiPbS4: single point on PBEsol structure, SCAN.

Properties
As for the space-group type: Pnma, No. 62. For the formation energy (no corrections), the calculation gives -294 meV/atom.

Structure (POSCAR):
```
Cu2AgBiPbS4
1.0
-0.193 2.685 -3.026
4.598 -8.642 -7.962
-13.600 -4.422 -3.055
S Bi Cu Pb Ag
16 4 8 4 4
direct
0.250 0.284 0.317
0.250 0.607 0.417
0.750 0.893 0.917
0.750 0.515 0.214
0.750 0.130 0.536
0.750 0.393 0.583
0.250 0.784 0.183
0.750 0.630 0.964
0.750 0.015 0.286
0.250 0.485 0.786
0.250 0.370 0.036
0.750 0.716 0.683
0.250 0.107 0.083
0.250 0.870 0.464
0.750 0.216 0.817
0.250 0.985 0.714
0.250 0.075 0.399
0.750 0.925 0.601
0.250 0.575 0.101
0.750 0.425 0.899
0.250 0.436 0.639
0.750 0.064 0.139
0.750 0.564 0.361
0.250 0.443 0.372
0.250 0.943 0.128
0.250 0.936 0.861
0.750 0.057 0.872
0.750 0.557 0.628
0.250 0.708 0.830
0.250 0.208 0.670
0.750 0.292 0.170
0.750 0.792 0.330
0.750 0.323 0.427
0.750 0.823 0.073
0.250 0.177 0.927
0.250 0.677 0.573
```


[12]
AlNiRh2: single point on PBEsol structure, SCAN.

Properties
As for the formation energy: -0.480 eV/atom. As for the space-group type: Amm2, No. 38.

Structure (POSCAR):
```
AlNiRh2
1.0
-0.128 2.539 0.910
-3.269 -0.897 2.043
2.747 -2.482 3.305
Al Ni Rh
1 1 2
direct
0.820 0.000 0.639
0.679 0.500 0.357
0.082 0.000 0.165
0.420 0.500 0.841
```


| no. | volume (Å³ per cell) |
| --- | --- |
| 1 | 271 |
| 2 | 38 |
| 3 | 118 |
| 4 | 148 |
| 5 | 62 |
| 6 | 130 |
| 7 | 137 |
| 8 | 64 |
| 9 | 332 |
| 10 | 91 |
| 11 | 747 |
| 12 | 51 |